Material: Ca2Sb3PtRh4
Method: DFT, PBE-GGA
State: relaxed

## Properties
E_tot   -58.2 eV for the cell shown
Crystal system   tetragonal
Formation energy from raw total energies   -635 meV per atom
Total magnetic moment   0.00 μB per formula unit
Theoretical density   8.41 g/cm3

Unit cell a=4.324 b=4.324 c=11.105 alpha=90.00 beta=90.00 gamma=90.00
Space group P-4m2 (No. 115)
Inequivalent atoms, fractional coordinates:
Ca (0.000, 0.500, 0.239)
Sb (0.000, 0.000, 0.000)
Sb (0.000, 0.500, 0.634)
Pt (0.500, 0.500, 0.000)
Rh (0.000, 0.000, 0.500)
Rh (0.000, 0.500, 0.863)
Rh (0.500, 0.500, 0.500)